Entry from Alexandria via LeMat-Bulk: a relaxed structure of Mg3Sn12Hg5 (GGA-PBE).

a = 17.122 Å, b = 17.122 Å, c = 17.122 Å
α = 90.00°, β = 90.00°, γ = 90.00°
Space group Ia-3d (No. 230)
Inequivalent atoms, fractional coordinates:
Mg 0.000 0.250 0.125 [24 per cell]
Sn 0.014 0.081 0.650 [96 per cell]
Hg 0.000 0.000 0.000 [16 per cell]
Hg 0.000 0.250 0.375 [24 per cell]

Computed properties:
Crystal system: cubic
DFT total energy, eV per atom: -2.590
Calculated formation energy, kJ/mol of atoms: 12.2

***

Entry from Alexandria via LeMat-Bulk: a relaxed structure of MgSnHg2 (GGA-PBE).

a = 3.367 Å, b = 3.367 Å, c = 8.411 Å
α = 90.00°, β = 90.00°, γ = 90.00°
Space group P4/mmm (No. 123)
Inequivalent atoms, fractional coordinates:
Mg 0.000 0.000 0.000 [1 per cell]
Sn 0.000 0.000 0.500 [1 per cell]
Hg 0.500 0.500 0.223 [2 per cell]

Computed properties:
Crystal system: tetragonal
DFT total energy, eV per atom: -1.605
Calculated formation energy, kJ/mol of atoms: -5.3

***

Entry from Alexandria via LeMat-Bulk: a relaxed structure of Mg2SnHg (GGA-PBE).

a = 3.337 Å, b = 3.337 Å, c = 8.131 Å
α = 90.00°, β = 90.00°, γ = 90.00°
Space group P4/mmm (No. 123)
Inequivalent atoms, fractional coordinates:
Mg 0.000 0.000 0.230 [2 per cell]
Sn 0.500 0.500 0.500 [1 per cell]
Hg 0.500 0.500 0.000 [1 per cell]

Computed properties:
Crystal system: tetragonal
DFT total energy, eV per atom: -2.052
Calculated formation energy, kJ/mol of atoms: -17.2

***

Entry from Alexandria via LeMat-Bulk: a relaxed structure of Mg6Sn3Hg (GGA-PBE).

a = 8.911 Å, b = 5.061 Å, c = 11.241 Å
α = 90.00°, β = 113.16°, γ = 90.00°
Space group P2_1/m (No. 11)
Inequivalent atoms, fractional coordinates:
Mg 0.014 0.250 0.329 [2 per cell]
Mg 0.022 0.750 0.173 [2 per cell]
Mg 0.209 0.250 0.132 [2 per cell]
Mg 0.252 0.750 0.493 [2 per cell]
Mg 0.377 0.250 0.922 [2 per cell]
Mg 0.442 0.750 0.292 [2 per cell]
Sn 0.136 0.250 0.622 [2 per cell]
Sn 0.177 0.750 0.970 [2 per cell]
Sn 0.416 0.750 0.786 [2 per cell]
Hg 0.371 0.250 0.412 [2 per cell]

Computed properties:
Crystal system: monoclinic
DFT total energy, eV per atom: -2.308
Energy above the most stable polymorph in this dataset, eV per formula unit: 0.00
Calculated formation energy, kJ/mol of atoms: -11.6

***

Entry from Alexandria via LeMat-Bulk: a relaxed structure of Mg2SnHg2 (GGA-PBE).

a = 4.442 Å, b = 4.442 Å, c = 12.582 Å
α = 90.00°, β = 90.00°, γ = 90.00°
Space group I4/mmm (No. 139)
Inequivalent atoms, fractional coordinates:
Mg 0.000 0.500 0.250 [4 per cell]
Sn 0.000 0.000 0.000 [2 per cell]
Hg 0.000 0.000 0.388 [4 per cell]

Computed properties:
Crystal system: tetragonal
DFT total energy, eV per atom: -1.576
Energy above the most stable polymorph in this dataset, eV per formula unit: 0.57
Calculated formation energy, kJ/mol of atoms: -1.6

***

Entry from Alexandria via LeMat-Bulk: a relaxed structure of Mg6Sn5Hg (GGA-PBE).

a = 4.714 Å, b = 8.390 Å, c = 7.499 Å
α = 90.00°, β = 107.05°, γ = 90.00°
Space group P2/m (No. 10)
Inequivalent atoms, fractional coordinates:
Mg 0.000 0.244 0.000 [2 per cell]
Mg 0.337 0.249 0.671 [4 per cell]
Sn 0.165 0.500 0.333 [2 per cell]
Sn 0.167 0.000 0.332 [2 per cell]
Sn 0.500 0.500 0.000 [1 per cell]
Hg 0.500 0.000 0.000 [1 per cell]

Computed properties:
Crystal system: monoclinic
DFT total energy, eV per atom: -2.621
Calculated formation energy, kJ/mol of atoms: -12.6

***

Entry from Alexandria via LeMat-Bulk: a relaxed structure of MgSnHg2 (GGA-PBE).

a = 10.744 Å, b = 3.244 Å, c = 5.815 Å
α = 90.00°, β = 107.45°, γ = 90.00°
Space group C2/m (No. 12)
Inequivalent atoms, fractional coordinates:
Mg 0.000 0.000 0.000 [2 per cell]
Sn 0.000 0.500 0.500 [2 per cell]
Hg 0.234 0.500 0.233 [4 per cell]

Computed properties:
Crystal system: monoclinic
DFT total energy, eV per atom: -1.610
Calculated formation energy, kJ/mol of atoms: -5.7

***

Entry from Alexandria via LeMat-Bulk: a relaxed structure of Mg2SnHg7 (GGA-PBE).

a = 8.155 Å, b = 14.980 Å, c = 4.811 Å
α = 90.00°, β = 90.00°, γ = 90.00°
Space group Cmmm (No. 65)
Inequivalent atoms, fractional coordinates:
Mg 0.000 0.197 0.000 [4 per cell]
Sn 0.000 0.500 0.500 [2 per cell]
Hg 0.000 0.000 0.000 [2 per cell]
Hg 0.000 0.290 0.500 [4 per cell]
Hg 0.189 0.390 0.000 [8 per cell]

Computed properties:
Crystal system: orthorhombic
DFT total energy, eV per atom: -0.892
Calculated formation energy, kJ/mol of atoms: 3.7